First-principles (PBE-GGA) data for a geometry-optimized Sr2CuO structure, as listed in Alexandria via LeMat-Bulk.

Cell: 9.0183 9.0183 9.0183 Å, 23.76 23.76 23.76°
Closest atoms and distances in Å follow each position.
Atoms (fractional coordinates):
Sr (0.1106, 0.1106, 0.1106)  3 O 2.60, 1 Cu 2.91
Sr (0.8894, 0.8894, 0.8894)  3 O 2.60, 1 Cu 2.91
Cu (0.0000, 0.0000, 0.0000)  2 Sr 2.91
O (0.5000, 0.5000, 0.5000)  6 Sr 2.60

Calculated total energy   -3.901 eV per atom
Symmetry   No. 166
Calculated volume   26.14 Å³ per atom

---

First-principles (PBE-GGA) data for a geometry-optimized Sr16Cu8O23 structure, as listed in Alexandria via LeMat-Bulk.

Cell: 6.8744 10.2001 11.3741 Å, 106.52 98.15 105.52°
Closest atoms and distances in Å follow each position.
Atoms (fractional coordinates):
Sr (0.0300, 0.2408, 0.3755)  7 O 2.51-2.80
Sr (0.0945, 0.8865, 0.3773)  7 O 2.51-2.69
Sr (0.1548, 0.3630, 0.1240)  7 O 2.55-2.80
Sr (0.2059, 0.0089, 0.1289)  6 O 2.53-2.64
Sr (0.2813, 0.4915, 0.8750)  7 O 2.51-2.80
Sr (0.3423, 0.1414, 0.8707)  6 O 2.46-2.65
Sr (0.4062, 0.6145, 0.6256)  7 O 2.50-2.79
Sr (0.4660, 0.2606, 0.6235)  7 O 2.50-2.68
Sr (0.5340, 0.7394, 0.3765)  7 O 2.50-2.68
Sr (0.5938, 0.3855, 0.3744)  7 O 2.50-2.79
Sr (0.6577, 0.8586, 0.1293)  6 O 2.46-2.65
Sr (0.7187, 0.5085, 0.1250)  7 O 2.51-2.80
Sr (0.7941, 0.9911, 0.8711)  6 O 2.53-2.64
Sr (0.8452, 0.6370, 0.8760)  7 O 2.55-2.80
Sr (0.9055, 0.1135, 0.6227)  7 O 2.51-2.69
Sr (0.9700, 0.7592, 0.6245)  7 O 2.51-2.80
Cu (0.0655, 0.5638, 0.3752)  4 O 1.94-1.98
Cu (0.1865, 0.6857, 0.1257)  4 O 1.98
Cu (0.3228, 0.8216, 0.8794)  2 O 1.90
Cu (0.4379, 0.9366, 0.6264)  4 O 1.98-2.01
Cu (0.5621, 0.0634, 0.3736)  4 O 1.98-2.01
Cu (0.6772, 0.1784, 0.1206)  2 O 1.90
Cu (0.8135, 0.3143, 0.8743)  4 O 1.98
Cu (0.9345, 0.4362, 0.6248)  4 O 1.94-1.98
O (0.0000, 0.5000, 0.0000)  2 Cu 1.98
O (0.0495, 0.2376, 0.8743)  1 Cu 1.98
O (0.1062, 0.9040, 0.8854)  1 Cu 1.90
O (0.1178, 0.6186, 0.7467)  2 Cu 1.94-2.15
O (0.1676, 0.3574, 0.6228)  1 Cu 1.98
O (0.2030, 0.0139, 0.6245)  1 Cu 1.98
O (0.2499, 0.7476, 0.4993)  2 Cu 1.96-2.01
O (0.2998, 0.4860, 0.3752)  1 Cu 1.98
O (0.3274, 0.1418, 0.3737)  1 Cu 1.98
O (0.3732, 0.8739, 0.2481)  2 Cu 1.98-2.01
O (0.4192, 0.6053, 0.1256)  1 Cu 1.98
O (0.4447, 0.2450, 0.1149)  1 Cu 1.90
O (0.5553, 0.7550, 0.8851)  1 Cu 1.90
O (0.5808, 0.3947, 0.8744)  1 Cu 1.98
O (0.6268, 0.1261, 0.7519)  2 Cu 1.98-2.01
O (0.6726, 0.8582, 0.6263)  1 Cu 1.98
O (0.7002, 0.5140, 0.6248)  1 Cu 1.98
O (0.7501, 0.2524, 0.5007)  2 Cu 1.96-2.01
O (0.7970, 0.9861, 0.3755)  1 Cu 1.98
O (0.8324, 0.6426, 0.3772)  1 Cu 1.98
O (0.8822, 0.3814, 0.2533)  2 Cu 1.94-2.15
O (0.8938, 0.0960, 0.1146)  1 Cu 1.90
O (0.9505, 0.7624, 0.1257)  1 Cu 1.98

Calculated total energy   -5.780 eV per atom
Symmetry   No. 2
Calculated volume   15.23 Å³ per atom

---

First-principles (PBE-GGA) data for a geometry-optimized SrCuO3 structure, as listed in Alexandria via LeMat-Bulk.

Cell: 3.8534 5.4115 8.5526 Å, 90.00 90.00 90.00°
Closest atoms and distances in Å follow each position.
Atoms (fractional coordinates):
Sr (0.0000, 0.0000, 0.0000)  12 O 2.60-2.77
Sr (0.0000, 0.5000, 0.3031)  11 O 2.59-2.90
Sr (0.0000, 0.5000, 0.6969)  11 O 2.59-2.90
Cu (0.5000, 0.0000, 0.3347)  6 O 1.95-1.96
Cu (0.5000, 0.0000, 0.6653)  6 O 1.95-1.96
Cu (0.5000, 0.5000, 0.0000)  6 O 1.93-1.98
O (0.0000, 0.0000, 0.3035)  2 Cu 1.95
O (0.0000, 0.0000, 0.6965)  2 Cu 1.95
O (0.0000, 0.5000, 0.0000)  2 Cu 1.93
O (0.5000, 0.2479, 0.5000)  2 Cu 1.95
O (0.5000, 0.2506, 0.1700)  2 Cu 1.96-1.98
O (0.5000, 0.2506, 0.8300)  2 Cu 1.96-1.98
O (0.5000, 0.7494, 0.1700)  2 Cu 1.96-1.98
O (0.5000, 0.7494, 0.8300)  2 Cu 1.96-1.98
O (0.5000, 0.7521, 0.5000)  2 Cu 1.95

Calculated total energy   -5.414 eV per atom
Symmetry   No. 47
Calculated volume   11.89 Å³ per atom

---

First-principles (PBE-GGA) data for a geometry-optimized Sr2CuO structure, as listed in Alexandria via LeMat-Bulk.

Cell: 6.6497 6.6497 6.6497 Å, 115.61 115.61 97.78°
Closest atoms and distances in Å follow each position.
Atoms (fractional coordinates):
Sr (0.0420, 0.1250, 0.4170)  2 O 2.39
Sr (0.3750, 0.9580, 0.0830)  2 O 2.39
Sr (0.7080, 0.6250, 0.5830)  2 O 2.39
Sr (0.8750, 0.2920, 0.9170)  2 O 2.39
Cu (0.2500, 0.7500, 0.5000)  4 Sr 3.15
Cu (0.5000, 0.5000, 0.0000)  4 Sr 3.15
O (0.0000, 0.0000, 0.0000)  4 Sr 2.39
O (0.7500, 0.2500, 0.5000)  4 Sr 2.39

Calculated total energy   -4.272 eV per atom
Symmetry   No. 122
Calculated volume   27.44 Å³ per atom